Version w
This record from Alexandria via LeMat-Bulk describes a relaxed SrGaPCl2 crystal. The functional is GGA-PBE.

The structure in POSCAR format:
```
SrGaPCl2
1.0
5.0448 0.0000 0.0000
0.0000 5.0448 0.0000
0.0000 0.0000 4.8190
Sr Ga P Cl
1 1 1 2
Direct
0.0000 0.0000 0.0000
0.5000 0.5000 0.5000
0.5000 0.5000 0.0000
0.0000 0.5000 0.5000
0.5000 0.0000 0.5000
```

## Properties
Total moment, μB per cell: 0.00

Version x
This record from Alexandria via LeMat-Bulk describes a relaxed SrGaPCl2 crystal. The functional is GGA-PBE.

The structure in POSCAR format:
```
SrGaPCl2
1.0
5.5878 0.0000 0.0000
0.0000 5.5878 0.0000
0.0000 0.0000 6.1153
Sr Ga P Cl
1 1 1 2
Direct
0.0000 0.0000 0.0000
0.5000 0.5000 0.5000
0.0000 0.0000 0.5000
0.0000 0.5000 0.0000
0.5000 0.0000 0.0000
```

## Properties
Total moment, μB per cell: 2.00

Unit: eV/atom. Relative energies: version w 0.000; version x 0.301.

Version w
This record from Alexandria via LeMat-Bulk describes a relaxed GaTcP2Cl crystal. The functional is GGA-PBE.

The structure in POSCAR format:
```
GaTcP2Cl
1.0
4.5433 0.0000 0.0000
0.0000 4.5433 0.0000
0.0000 0.0000 5.3684
Ga Tc P Cl
1 1 2 1
Direct
0.0000 0.0000 0.0000
0.5000 0.5000 0.5000
0.0000 0.5000 0.5000
0.5000 0.0000 0.5000
0.5000 0.5000 0.0000
```

## Properties
Total moment, μB per cell: 0.00

Version x
This record from Alexandria via LeMat-Bulk describes a relaxed GaTcP2Cl crystal. The functional is GGA-PBE.

The structure in POSCAR format:
```
GaTcP2Cl
1.0
4.7259 0.0000 0.0000
0.0000 4.7259 0.0000
0.0000 0.0000 4.7113
Ga Tc P Cl
1 1 2 1
Direct
0.0000 0.0000 0.0000
0.5000 0.5000 0.5000
0.0000 0.5000 0.0000
0.5000 0.0000 0.0000
0.0000 0.0000 0.5000
```

## Properties
Total moment, μB per cell: 3.40

Unit: eV/atom. Relative energies: version w 0.000; version x 0.872.

Version w
This record from Alexandria via LeMat-Bulk describes a relaxed TiGaPCl2 crystal. The functional is GGA-PBE.

The structure in POSCAR format:
```
TiGaPCl2
1.0
4.8337 0.0000 0.0000
0.0000 4.8337 0.0000
0.0000 0.0000 4.8826
Ti Ga P Cl
1 1 1 2
Direct
0.0000 0.0000 0.0000
0.5000 0.5000 0.5000
0.0000 0.0000 0.5000
0.0000 0.5000 0.0000
0.5000 0.0000 0.0000
```

## Properties
Total moment, μB per cell: 0.00

Version x
This record from Alexandria via LeMat-Bulk describes a relaxed TiGaPCl2 crystal. The functional is GGA-PBE.

The structure in POSCAR format:
```
TiGaPCl2
1.0
4.7285 0.0000 0.0000
0.0000 4.7285 0.0000
0.0000 0.0000 4.9216
Ti Ga P Cl
1 1 1 2
Direct
0.0000 0.0000 0.0000
0.5000 0.5000 0.5000
0.5000 0.5000 0.0000
0.0000 0.5000 0.5000
0.5000 0.0000 0.5000
```

## Properties
Total moment, μB per cell: 1.62

Unit: eV/atom. Relative energies: version w 0.000; version x 0.717.

Version w
This record from Alexandria via LeMat-Bulk describes a relaxed VGaP2Cl crystal. The functional is GGA-PBE.

The structure in POSCAR format:
```
VGaP2Cl
1.0
4.6436 0.0000 0.0000
0.0000 4.6436 0.0000
0.0000 0.0000 4.7729
V Ga P Cl
1 1 2 1
Direct
0.0000 0.0000 0.0000
0.5000 0.5000 0.5000
0.0000 0.5000 0.5000
0.5000 0.0000 0.5000
0.5000 0.5000 0.0000
```

## Properties
Total moment, μB per cell: 0.11

Version x
This record from Alexandria via LeMat-Bulk describes a relaxed VGaP2Cl crystal. The functional is GGA-PBE.

The structure in POSCAR format:
```
VGaP2Cl
1.0
4.5056 0.0000 0.0000
0.0000 4.5056 0.0000
0.0000 0.0000 5.1806
V Ga P Cl
1 1 2 1
Direct
0.0000 0.0000 0.0000
0.5000 0.5000 0.5000
0.0000 0.5000 0.0000
0.5000 0.0000 0.0000
0.0000 0.0000 0.5000
```

## Properties
Total moment, μB per cell: 0.00

Unit: eV/atom. Relative energies: version w 0.934; version x 0.000.

Version w
This record from Alexandria via LeMat-Bulk describes a relaxed VGaPCl2 crystal. The functional is GGA-PBE.

The structure in POSCAR format:
```
VGaPCl2
1.0
4.9014 0.0000 0.0000
0.0000 4.9014 0.0000
0.0000 0.0000 4.6826
V Ga P Cl
1 1 1 2
Direct
0.0000 0.0000 0.0000
0.5000 0.5000 0.5000
0.0000 0.0000 0.5000
0.0000 0.5000 0.0000
0.5000 0.0000 0.0000
```

## Properties
Total moment, μB per cell: 0.99

Version x
This record from Alexandria via LeMat-Bulk describes a relaxed VGaPCl2 crystal. The functional is GGA-PBE.

The structure in POSCAR format:
```
VGaPCl2
1.0
4.7294 0.0000 0.0000
0.0000 4.7294 0.0000
0.0000 0.0000 4.9901
V Ga P Cl
1 1 1 2
Direct
0.0000 0.0000 0.0000
0.5000 0.5000 0.5000
0.5000 0.5000 0.0000
0.0000 0.5000 0.5000
0.5000 0.0000 0.5000
```

## Properties
Total moment, μB per cell: 2.69

Unit: eV/atom. Relative energies: version w 0.000; version x 0.645.

Version w
This record from Alexandria via LeMat-Bulk describes a relaxed GaPWCl2 crystal. The functional is GGA-PBE.

The structure in POSCAR format:
```
GaPWCl2
1.0
4.5952 0.0000 0.0000
0.0000 4.5952 0.0000
0.0000 0.0000 5.1494
Ga P W Cl
1 1 1 2
Direct
0.0000 0.0000 0.0000
0.0000 0.0000 0.5000
0.5000 0.5000 0.5000
0.0000 0.5000 0.0000
0.5000 0.0000 0.0000
```

## Properties
Total moment, μB per cell: 3.68

Version x
This record from Alexandria via LeMat-Bulk describes a relaxed GaPWCl2 crystal. The functional is GGA-PBE.

The structure in POSCAR format:
```
GaPWCl2
1.0
4.9488 0.0000 0.0000
0.0000 4.9488 0.0000
0.0000 0.0000 4.7310
Ga P W Cl
1 1 1 2
Direct
0.0000 0.0000 0.0000
0.5000 0.5000 0.0000
0.5000 0.5000 0.5000
0.0000 0.5000 0.5000
0.5000 0.0000 0.5000
```

## Properties
Total moment, μB per cell: 1.17

Unit: eV/atom. Relative energies: version w 0.875; version x 0.000.

Version w
This record from Alexandria via LeMat-Bulk describes a relaxed YGaP2Cl crystal. The functional is GGA-PBE.

The structure in POSCAR format:
```
YGaP2Cl
1.0
5.3586 0.0000 0.0000
0.0000 5.3586 0.0000
0.0000 0.0000 5.2987
Y Ga P Cl
1 1 2 1
Direct
0.0000 0.0000 0.0000
0.5000 0.5000 0.5000
0.0000 0.5000 0.0000
0.5000 0.0000 0.0000
0.0000 0.0000 0.5000
```

## Properties
Total moment, μB per cell: 0.98

Version x
This record from Alexandria via LeMat-Bulk describes a relaxed YGaP2Cl crystal. The functional is GGA-PBE.

The structure in POSCAR format:
```
YGaP2Cl
1.0
4.7087 0.0000 0.0000
0.0000 4.7087 0.0000
0.0000 0.0000 4.8677
Y Ga P Cl
1 1 2 1
Direct
0.0000 0.0000 0.0000
0.5000 0.5000 0.5000
0.0000 0.5000 0.5000
0.5000 0.0000 0.5000
0.5000 0.5000 0.0000
```

## Properties
Total moment, μB per cell: 0.00

Unit: eV/atom. Relative energies: version w 0.197; version x 0.000.

Version w
This record from Alexandria via LeMat-Bulk describes a relaxed ZrGaP2Cl crystal. The functional is GGA-PBE.

The structure in POSCAR format:
```
ZrGaP2Cl
1.0
5.0447 0.0000 0.0000
0.0000 5.0447 0.0000
0.0000 0.0000 5.1901
Zr Ga P Cl
1 1 2 1
Direct
0.0000 0.0000 0.0000
0.5000 0.5000 0.5000
0.0000 0.5000 0.0000
0.5000 0.0000 0.0000
0.0000 0.0000 0.5000
```

## Properties
Total moment, μB per cell: 0.00

Version x
This record from Alexandria via LeMat-Bulk describes a relaxed ZrGaP2Cl crystal. The functional is GGA-PBE.

The structure in POSCAR format:
```
ZrGaP2Cl
1.0
4.6864 0.0000 0.0000
0.0000 4.6864 0.0000
0.0000 0.0000 4.6521
Zr Ga P Cl
1 1 2 1
Direct
0.0000 0.0000 0.0000
0.5000 0.5000 0.5000
0.0000 0.5000 0.5000
0.5000 0.0000 0.5000
0.5000 0.5000 0.0000
```

## Properties
Total moment, μB per cell: 0.29

Unit: eV/atom. Relative energies: version w 0.000; version x 0.447.

Version w
This record from Alexandria via LeMat-Bulk describes a relaxed ZrGaPCl2 crystal. The functional is GGA-PBE.

The structure in POSCAR format:
```
ZrGaPCl2
1.0
4.6914 0.0000 0.0000
0.0000 4.6914 0.0000
0.0000 0.0000 4.9467
Zr Ga P Cl
1 1 1 2
Direct
0.0000 0.0000 0.0000
0.5000 0.5000 0.5000
0.5000 0.5000 0.0000
0.0000 0.5000 0.5000
0.5000 0.0000 0.5000
```

## Properties
Total moment, μB per cell: 1.41

Version x
This record from Alexandria via LeMat-Bulk describes a relaxed ZrGaPCl2 crystal. The functional is GGA-PBE.

The structure in POSCAR format:
```
ZrGaPCl2
1.0
5.0936 0.0000 0.0000
0.0000 5.0936 0.0000
0.0000 0.0000 5.1117
Zr Ga P Cl
1 1 1 2
Direct
0.0000 0.0000 0.0000
0.5000 0.5000 0.5000
0.0000 0.0000 0.5000
0.0000 0.5000 0.0000
0.5000 0.0000 0.0000
```

## Properties
Total moment, μB per cell: 0.00

Unit: eV/atom. Relative energies: version w 0.721; version x 0.000.

Version w
This record from Alexandria via LeMat-Bulk describes a relaxed PaGa2Cl8 crystal. The functional is GGA-PBE.

The structure in POSCAR format:
```
PaGa2Cl8
1.0
4.9289 -4.2393 0.0000
4.9289 4.2393 0.0000
-0.9778 0.0000 9.0691
Pa Ga Cl
1 2 8
Direct
0.0000 0.0000 0.0000
0.0826 0.0826 0.4093
0.9174 0.9174 0.5907
0.1750 0.7661 0.7641
0.2339 0.8250 0.2359
0.2574 0.2574 0.9935
0.3012 0.3012 0.4603
0.6988 0.6988 0.5397
0.7426 0.7426 0.0065
0.7661 0.1750 0.7641
0.8250 0.2339 0.2359
```

## Properties
Total moment, μB per cell: 1.00

Version x
This record from Alexandria via LeMat-Bulk describes a relaxed PaGa2Cl8 crystal. The functional is GGA-PBE.

The structure in POSCAR format:
```
PaGa2Cl8
1.0
6.4318 0.0000 0.0000
0.9096 7.6277 0.0000
0.8850 2.0222 7.3625
Pa Ga Cl
1 2 8
Direct
0.0000 0.0000 0.0000
0.2293 0.4755 0.4735
0.7707 0.5245 0.5265
0.1531 0.1785 0.1783
0.2570 0.1246 0.7214
0.2584 0.7205 0.1252
0.4137 0.6330 0.6305
0.5863 0.3670 0.3695
0.7416 0.2795 0.8748
0.7430 0.8754 0.2786
0.8469 0.8215 0.8217
```

## Properties
Total moment, μB per cell: 0.00

Unit: eV/atom. Relative energies: version w 0.000; version x 0.041.

Version w
This record from Alexandria via LeMat-Bulk describes a relaxed Ga2PbCl6 crystal. The functional is GGA-PBE.

The structure in POSCAR format:
```
Ga2PbCl6
1.0
6.6738 -6.2037 0.0000
6.6738 6.2037 0.0000
-3.6964 0.0000 7.8594
Ga Pb Cl
4 2 12
Direct
0.1013 0.2616 0.2444
0.2616 0.1013 0.7444
0.7384 0.8987 0.2556
0.8987 0.7384 0.7556
0.4158 0.5842 0.7500
0.5842 0.4158 0.2500
0.1242 0.5841 0.7890
0.1460 0.1477 0.4717
0.1477 0.1460 0.9717
0.2904 0.4742 0.3726
0.4159 0.8758 0.7110
0.4742 0.2904 0.8726
0.5258 0.7096 0.1274
0.5841 0.1242 0.2890
0.7096 0.5258 0.6274
0.8523 0.8540 0.0283
0.8540 0.8523 0.5283
0.8758 0.4159 0.2110
```

## Properties
Total moment, μB per cell: 0.00

Version x
This record from Alexandria via LeMat-Bulk describes a relaxed Ga2PbCl6 crystal. The functional is GGA-PBE.

The structure in POSCAR format:
```
Ga2PbCl6
1.0
7.2886 -6.7069 0.0000
7.2886 6.7069 0.0000
-0.8250 0.0000 6.6482
Ga Pb Cl
4 2 12
Direct
0.0059 0.1628 0.2619
0.1628 0.0059 0.7619
0.8372 0.9941 0.2381
0.9941 0.8372 0.7381
0.4166 0.5834 0.7500
0.5834 0.4166 0.2500
0.0592 0.6357 0.8261
0.0979 0.2053 0.5997
0.2053 0.0979 0.0997
0.3310 0.4487 0.3674
0.3643 0.9408 0.6739
0.4487 0.3310 0.8674
0.5513 0.6690 0.1326
0.6357 0.0592 0.3261
0.6690 0.5513 0.6326
0.7947 0.9021 0.9003
0.9021 0.7947 0.4003
0.9408 0.3643 0.1739
```

## Properties
Total moment, μB per cell: 0.00

Unit: eV/atom. Relative energies: version w 0.093; version x 0.000.

Version w
This record from Alexandria via LeMat-Bulk describes a relaxed Ga2PbCl4 crystal. The functional is GGA-PBE.

The structure in POSCAR format:
```
Ga2PbCl4
1.0
2.4460 -8.6430 0.0000
2.4460 8.6430 0.0000
0.0000 0.0000 5.1043
Ga Pb Cl
2 1 4
Direct
0.1793 0.8207 0.0000
0.8207 0.1793 0.0000
0.5000 0.5000 0.5000
0.1054 0.8946 0.5000
0.4008 0.5992 0.0000
0.5992 0.4008 0.0000
0.8946 0.1054 0.5000
```

## Properties
Total moment, μB per cell: 0.00

Version x
This record from Alexandria via LeMat-Bulk describes a relaxed Ga2PbCl4 crystal. The functional is GGA-PBE.

The structure in POSCAR format:
```
Ga2PbCl4
1.0
-2.8887 2.8887 7.2292
2.8887 -2.8887 7.2292
2.8887 2.8887 -7.2292
Ga Pb Cl
2 1 4
Direct
0.1294 0.1294 0.0000
0.8706 0.8706 0.0000
0.5000 0.5000 0.0000
0.0000 0.5000 0.5000
0.3016 0.3016 0.0000
0.5000 0.0000 0.5000
0.6984 0.6984 0.0000
```

## Properties
Total moment, μB per cell: 0.00

Unit: eV/atom. Relative energies: version w 0.000; version x 0.044.

Version w
This record from Alexandria via LeMat-Bulk describes a relaxed GaPb2Cl crystal. The functional is GGA-PBE.

The structure in POSCAR format:
```
GaPb2Cl
1.0
-3.1285 3.1285 7.5870
3.1285 -3.1285 7.5870
3.1285 3.1285 -7.5870
Ga Pb Cl
2 4 2
Direct
0.0000 0.0000 0.0000
0.7500 0.2500 0.5000
0.1065 0.6250 0.9815
0.3750 0.3565 0.4815
0.6435 0.1250 0.0185
0.8750 0.8935 0.5185
0.2500 0.7500 0.5000
0.5000 0.5000 0.0000
```

## Properties
Total moment, μB per cell: 0.00

Version x
This record from Alexandria via LeMat-Bulk describes a relaxed GaPb2Cl crystal. The functional is GGA-PBE.

The structure in POSCAR format:
```
GaPb2Cl
1.0
3.5230 0.0000 0.0000
0.0000 3.5230 0.0000
0.0000 0.0000 8.4649
Ga Pb Cl
1 2 1
Direct
0.0000 0.0000 0.0000
0.5000 0.5000 0.2379
0.5000 0.5000 0.7621
0.0000 0.0000 0.5000
```

## Properties
Total moment, μB per cell: 0.00

Unit: eV/atom. Relative energies: version w 0.242; version x 0.000.